# 1
A plane-wave DFT calculation with GGA-PBE was carried out for TiSbMo after structural relaxation.

Calculated values
The size of the total moment comes out at 0.0 μB per formula unit. The density of states at the Fermi level is 5.10 states/eV per cell. Its final energy is -7.816 eV/atom. Its symmetry is No. 139. The formation energy without anion corrections comes out at -0.20 eV/atom.

abc: 3.329 3.329 11.657
angles: 98.21 98.21 90.00
Fractional coordinates of all 6 atoms:
1 Mo 0.283 0.283 0.567
2 Mo 0.717 0.717 0.433
3 Ti 0.154 0.154 0.308
4 Ti 0.846 0.846 0.692
5 Sb 0.582 0.582 0.165
6 Sb 0.418 0.418 0.835

---

# 2
A plane-wave DFT calculation with GGA-PBE was carried out for AcLaSmAu after structural relaxation.

Calculated values
The size of the total moment comes out at 1.8 μB per formula unit. The density of states at the Fermi level is 6.11 states/eV per cell. Its formation energy is -47 meV per atom. Its final energy is -4.305 eV/atom. Its symmetry is No. 216.

abc: 5.577 5.577 5.577
angles: 60.00 60.00 60.00
Last column: magnetic moment on the atom in μB.
Fractional coordinates of all 4 atoms:
1 Ac 0.250 0.250 0.250  0.34
2 Au 0.750 0.750 0.750  0.03
3 Sm 0.500 0.500 0.500  0.32
4 La 0.000 0.000 0.000  0.27

---

Please write out number 2 again, unchanged.
A plane-wave DFT calculation with GGA-PBE was carried out for AcLaSmAu after structural relaxation.

Calculated values
The size of the total moment comes out at 1.8 μB per formula unit. The density of states at the Fermi level is 6.11 states/eV per cell. Its formation energy is -47 meV per atom. Its final energy is -4.305 eV/atom. Its symmetry is No. 216.

abc: 5.577 5.577 5.577
angles: 60.00 60.00 60.00
Last column: magnetic moment on the atom in μB.
Fractional coordinates of all 4 atoms:
1 Ac 0.250 0.250 0.250  0.34
2 Au 0.750 0.750 0.750  0.03
3 Sm 0.500 0.500 0.500  0.32
4 La 0.000 0.000 0.000  0.27

---

Look up the size of the total moment of the second one.
1.8 μB per formula unit

---

density of states at the Fermi level of number 1 (TiSbMo)?
5.10 states/eV per cell